A relaxed structure of Sm4Y3Tm2. Source: Alexandria, functional GGA-PBE. Values from VASP.

Output
excess energy over the best structure of this formula in the dataset	71.6	meV/atom
DOS at the Fermi energy	25.33	states/eV per cell
calculated density	6.881	g/cm³
SG	C2/c, No. 15
formation enthalpy at 0 K	0.094	eV/atom
crystal system	monoclinic

```
&SYSTEM
  ibrav = 0, nat = 18, ntyp = 3
/
ATOMIC_SPECIES
Sm 150.36 Sm.upf
Y 88.91 Y.upf
Tm 168.93 Tm.upf
CELL_PARAMETERS angstrom
5.9849 0.0775 0.4796
0.6134 9.4916 3.6975
0.2175 -0.1845 10.2008
ATOMIC_POSITIONS crystal
Sm 0.5473 0.0480 0.8243
Sm 0.9527 0.1757 0.9520
Sm 0.4527 0.9520 0.1757
Sm 0.0473 0.8243 0.0480
Sm 0.6140 0.8369 0.6163
Sm 0.8860 0.3837 0.1631
Sm 0.3860 0.1631 0.3837
Sm 0.1140 0.6163 0.8369
Y 0.0805 0.9825 0.6797
Y 0.4195 0.3203 0.0175
Y 0.9195 0.0175 0.3203
Y 0.5805 0.6797 0.9825
Y 0.2500 0.3497 0.6503
Y 0.7500 0.6503 0.3497
Tm 0.2047 0.7088 0.4957
Tm 0.2953 0.5043 0.2912
Tm 0.7953 0.2912 0.5043
Tm 0.7047 0.4957 0.7088
```